# 1
Computed, not measured: a relaxed PbWBr2 crystal at the GGA-PBE level of DFT.

The value obtained for the density of states at the Fermi level is 6.09 states/eV/cell. The calculation puts the distance to the lowest polymorph of the same formula at 49 meV per atom. The magnetization comes out at 0.000 μB/atom. Its formation energy without anion corrections is 0.3137 eV/atom. The calculation puts the theoretical density at 8.25 g cm⁻³. For the total DFT energy (no corrections), the calculation gives -56.26 eV/cell.

The structure belongs to space group R-3m (No. 166, hexagonal axes); the cell edges are 3.2970, 3.2970 and 35.3318 Å and the angles 90.00°, 90.00° and 120.00°. The asymmetric unit holds Pb at (0.0000, 0.0000, 0.0000), W at (0.0000, 0.0000, 0.5000) and Br at (0.0000, 0.0000, 0.1148).



# 2
Computed, not measured: a relaxed PbWBr2 crystal at the GGA-PBE level of DFT.

The value obtained for the density of states at the Fermi level is 1.84 states/eV/cell. The calculation puts the distance to the lowest polymorph of the same formula at 0 meV per atom. The magnetization comes out at 0.000 μB/atom. Its formation energy without anion corrections is 0.2648 eV/atom. The calculation puts the theoretical density at 7.70 g cm⁻³. For the total DFT energy (no corrections), the calculation gives -37.90 eV/cell.

The structure belongs to space group Cm (No. 8); the cell edges are 13.017, 3.179 and 6.614 Å and the angles 90.00°, 119.70° and 90.00°. The asymmetric unit holds Pb at (0.000, 0.000, 0.000), W at (0.310, 0.000, 0.001), Br at (0.172, 0.500, 0.678) and Br at (0.336, 0.500, 0.325).



# 3
Computed, not measured: a relaxed PbWBr2 crystal at the GGA-PBE level of DFT.

The value obtained for the density of states at the Fermi level is 4.14 states/eV/cell. The calculation puts the distance to the lowest polymorph of the same formula at 307 meV per atom. The magnetization comes out at 0.253 μB/atom. Its formation energy without anion corrections is 0.5718 eV/atom. The calculation puts the theoretical density at 8.86 g cm⁻³. For the total DFT energy (no corrections), the calculation gives -35.44 eV/cell.

The structure belongs to space group Cmm2 (No. 35); the cell edges are 3.418, 6.051 and 9.987 Å and the angles 90.00°, 90.00° and 90.00°. The asymmetric unit holds Pb at (0.000, 0.000, 0.000), W at (0.000, 0.500, 0.239), Br at (0.000, 0.000, 0.428) and Br at (0.000, 0.500, 0.764).



> What is the formula in the third record?

PbWBr2



> Which formula does entry 3 have?

PbWBr2